SiBr4: PBEsol geometry, meta-GGA SCAN.

Results
E_form (uncorrected) ... -0.85 eV per atom
N(E_F) ... 0.000 states/eV/cell
Density ... 3239 kg/m³

a b c (Å): 10.3749 6.7273 10.5367
angles (deg): 90.00 104.14 90.00
Closest atoms and distances in Å follow each position.
Space group P2_1/c (No. 14)
Inequivalent atoms, fractional coordinates:
Si: 0.2504 0.0718 0.1490 (multiplicity 4)  4 Br 2.20
Br: 0.0829 0.5790 0.7026 (multiplicity 4)  1 Si 2.20
Br: 0.1952 0.1177 0.5956 (multiplicity 4)  1 Si 2.20
Br: 0.2970 0.5815 0.4812 (multiplicity 4)  1 Si 2.20
Br: 0.4254 0.0652 0.3160 (multiplicity 4)  1 Si 2.20

SiBr5: PBEsol geometry, meta-GGA SCAN.

Results
E_form (uncorrected) ... 0.84 eV per atom
N(E_F) ... 17.526 states/eV/cell
Density ... 4730 kg/m³

a b c (Å): 8.4366 8.4366 8.4366
angles (deg): 90.00 90.00 90.00
Closest atoms and distances in Å follow each position.
Space group F-43m (No. 216)
Inequivalent atoms, fractional coordinates:
Si: 0.0000 0.0000 0.0000 (multiplicity 4)  16 Br 3.50-3.65
Br: 0.1250 0.1250 0.6250 (multiplicity 16)  6 Br 2.98
Br: 0.2500 0.2500 0.2500 (multiplicity 4)  12 Br 3.50, 4 Si 3.65